The following is a DFT calculation (PBE) of a relaxed structure of BC2.

DFT total energy = -97.07 eV/cell
energy of formation = 286 meV/atom
magnetization = 0.00 μB per formula unit
energy above the lowest structure with this stoichiometry = 46 meV per atom
space group = C2/m (12)

a b c (Å): 6.760 6.760 4.646
angles (deg): 103.50 103.50 21.74
Atoms (fractional coordinates):
B1 0.081 0.081 0.096
B2 0.217 0.217 0.872
B3 0.783 0.783 0.128
B4 0.919 0.919 0.904
C1 0.090 0.090 0.760
C2 0.270 0.270 0.589
C3 0.388 0.388 0.695
C4 0.441 0.441 0.432
C5 0.559 0.559 0.568
C6 0.612 0.612 0.305
C7 0.730 0.730 0.411
C8 0.910 0.910 0.240